VASP calculation (PBE) on a relaxed structure of ScCr3.

Unit cell a=5.806 b=5.806 c=8.322 alpha=90.00 beta=90.00 gamma=120.00
Fractional positions:
1 Sc 0.000 0.000 0.000
2 Sc 0.000 0.000 0.500
3 Sc 0.333 0.667 0.250
4 Sc 0.667 0.333 0.750
5 Cr 0.000 0.500 0.000
6 Cr 0.000 0.500 0.500
7 Cr 0.196 0.392 0.750
8 Cr 0.196 0.804 0.750
9 Cr 0.392 0.196 0.250
10 Cr 0.500 0.000 0.000
11 Cr 0.500 0.000 0.500
12 Cr 0.500 0.500 0.000
13 Cr 0.500 0.500 0.500
14 Cr 0.608 0.804 0.750
15 Cr 0.804 0.196 0.250
16 Cr 0.804 0.608 0.250

Values from the calculation:
- formation energy from the elements (meV per atom) = 482
- space-group type = P6_3/mmc (194)
- DOS at the Fermi energy (states/eV/atom) = 1.1027
- total energy (eV/f.u.) = -33.3
- total moment (μB per formula unit) = 1.2

---

VASP calculation (PBE) on a relaxed structure of Y2Ni2Ru.

Unit cell a=6.871 b=6.871 c=3.868 alpha=90.00 beta=90.00 gamma=90.00
Fractional positions:
1 Y 0.184 0.316 0.000
2 Y 0.316 0.816 0.000
3 Y 0.684 0.184 0.000
4 Y 0.816 0.684 0.000
5 Ni 0.121 0.621 0.500
6 Ni 0.379 0.121 0.500
7 Ni 0.621 0.879 0.500
8 Ni 0.879 0.379 0.500
9 Ru 0.000 0.000 0.500
10 Ru 0.500 0.500 0.500

Values from the calculation:
- formation energy from the elements (meV per atom) = -257
- space-group type = P4/mbm (127)
- DOS at the Fermi energy (states/eV/atom) = 0.7551
- total energy (eV/f.u.) = -35.0
- total moment (μB per formula unit) = 0.0
- offset from the most stable computed form (meV/atom) = 0

---

VASP calculation (PBE) on a relaxed structure of Hf2NbTl.

Unit cell a=6.073 b=6.073 c=6.073 alpha=117.51 beta=104.15 gamma=107.08
Fractional positions:
1 Hf 0.000 0.000 0.000
2 Hf 0.000 0.500 0.500
3 Hf 0.101 0.056 0.545
4 Hf 0.512 0.556 0.455
5 Nb 0.604 0.104 0.500
6 Nb 0.604 0.604 0.000
7 Tl 0.098 0.552 0.046
8 Tl 0.507 0.052 0.954

Values from the calculation:
- formation energy from the elements (meV per atom) = 106
- space-group type = Ima2 (46)
- DOS at the Fermi energy (states/eV/atom) = 0.9401
- total energy (eV/f.u.) = -31.9
- total moment (μB per formula unit) = 0.0
- offset from the most stable computed form (meV/atom) = 125

---

VASP calculation (PBE) on a relaxed structure of IrAuC2Se.

Unit cell a=3.790 b=3.790 c=8.272 alpha=90.00 beta=90.00 gamma=90.00
Fractional positions:
1 Ir 0.000 0.000 0.000
2 Au 0.500 0.500 0.500
3 C 0.000 0.500 0.500
4 C 0.500 0.000 0.500
5 Se 0.500 0.500 0.000

Values from the calculation:
- space-group type = P4/mmm (123)
- DOS at the Fermi energy (states/eV/atom) = 0.8228
- E_form (uncorrected) (meV/atom) = 2472
- total energy (eV/f.u.) = -21.7
- total moment (μB per formula unit) = 0.6

---

VASP calculation (PBE) on a relaxed structure of ZnAs2W.

Unit cell a=3.256 b=4.216 c=4.826 alpha=90.00 beta=90.00 gamma=90.00
Fractional positions:
1 Zn 0.000 0.000 0.000
2 As 0.000 0.500 0.500
3 As 0.500 0.500 0.000
4 W 0.500 0.000 0.500

Values from the calculation:
- formation energy from the elements (meV per atom) = 571
- space-group type = Pmmm (47)
- DOS at the Fermi energy (states/eV/atom) = 0.5829
- total energy (eV/f.u.) = -21.2
- total moment (μB per formula unit) = 0.0

---

VASP calculation (PBE) on a relaxed structure of LiHoMg2.

Unit cell a=5.435 b=5.435 c=3.425 alpha=90.00 beta=90.00 gamma=90.00
Fractional positions:
1 Li 0.000 0.000 0.000
2 Ho 0.500 0.500 0.000
3 Mg 0.000 0.500 0.500
4 Mg 0.500 0.000 0.500

Values from the calculation:
- formation energy from the elements (meV per atom) = 23
- space-group type = P4/mmm (123)
- DOS at the Fermi energy (states/eV/atom) = 0.7961
- total energy (eV/f.u.) = -9.6
- total moment (μB per formula unit) = 0.0
- offset from the most stable computed form (meV/atom) = 66

---

VASP calculation (PBE) on a relaxed structure of KScC.

Unit cell a=3.798 b=3.798 c=5.790 alpha=90.00 beta=90.00 gamma=120.00
Fractional positions:
1 K 0.000 0.000 0.000
2 Sc 0.333 0.667 0.500
3 C 0.667 0.333 0.500

Values from the calculation:
- formation energy from the elements (meV per atom) = 470
- space-group type = P-6m2 (187)
- DOS at the Fermi energy (states/eV/atom) = 0.8971
- total energy (eV/f.u.) = -15.2
- total moment (μB per formula unit) = 0.0
- offset from the most stable computed form (meV/atom) = 508

---

VASP calculation (PBE) on a relaxed structure of CePu2RuN4.

Unit cell a=6.044 b=6.044 c=11.619 alpha=90.00 beta=90.00 gamma=147.59
Fractional positions:
1 Ce 0.110 0.890 0.750
2 Ce 0.890 0.110 0.250
3 Pu 0.369 0.631 0.552
4 Pu 0.369 0.631 0.948
5 Pu 0.631 0.369 0.052
6 Pu 0.631 0.369 0.448
7 Ru 0.149 0.851 0.250
8 Ru 0.851 0.149 0.750
9 N 0.000 0.000 0.000
10 N 0.000 0.000 0.500
11 N 0.272 0.728 0.120
12 N 0.272 0.728 0.380
13 N 0.456 0.544 0.750
14 N 0.544 0.456 0.250
15 N 0.728 0.272 0.620
16 N 0.728 0.272 0.880

Values from the calculation:
- space-group type = Cmcm (63)
- DOS at the Fermi energy (states/eV/atom) = 1.7765
- E_form (uncorrected) (meV/atom) = -961
- total energy (eV/f.u.) = -84.9
- total moment (μB per formula unit) = 8.2

---

VASP calculation (PBE) on a relaxed structure of Tl3Br.

Unit cell a=5.802 b=5.802 c=3.878 alpha=90.00 beta=90.00 gamma=100.89
Fractional positions:
1 Tl 0.000 0.000 0.000
2 Tl 0.000 0.500 0.500
3 Tl 0.500 0.000 0.500
4 Br 0.500 0.500 0.000

Values from the calculation:
- space-group type = Cmmm (65)
- DOS at the Fermi energy (states/eV/atom) = 0.5705
- E_form (uncorrected) (meV/atom) = -300
- total energy (eV/f.u.) = -10.0
- total moment (μB per formula unit) = 0.0
- offset from the most stable computed form (meV/atom) = 0

---

VASP calculation (PBE) on a relaxed structure of Cs2InSb2.

Unit cell a=8.903 b=8.903 c=10.845 alpha=119.94 beta=119.94 gamma=50.16
Fractional positions:
1 Cs 0.147 0.147 0.459
2 Cs 0.241 0.241 0.126
3 Cs 0.759 0.759 0.874
4 Cs 0.853 0.853 0.541
5 In 0.494 0.494 0.835
6 In 0.506 0.506 0.165
7 Sb 0.333 0.333 0.874
8 Sb 0.426 0.426 0.536
9 Sb 0.574 0.574 0.464
10 Sb 0.667 0.667 0.126

Values from the calculation:
- space-group type = C2/m (12)
- E_form (uncorrected) (meV/atom) = -339
- total energy (eV/f.u.) = -14.4
- total moment (μB per formula unit) = 0.0
- offset from the most stable computed form (meV/atom) = 27